Entry P
Material: CsGa2As2
Method: DFT, GGA-PBE
State: relaxed

Properties
Spin magnetization, μB/cell: 0.00
Calculated volume, Å³ per cell: 140

Unit cell a=4.058 b=4.058 c=8.504 alpha=90.00 beta=90.00 gamma=90.00
Space group P4/mmm (No. 123)
Symmetry-distinct sites (fractional):
Cs 0.000 0.000 0.000 [1 per cell]
Ga 0.000 0.500 0.500 [2 per cell]
As 0.500 0.500 0.292 [2 per cell]

Entry Q
Material: CsGa2As2
Method: DFT, GGA-PBE
State: relaxed

Properties
Spin magnetization, μB/cell: 0.00
Calculated volume, Å³ per cell: 293

Unit cell a=4.452 b=4.452 c=14.770 alpha=90.00 beta=90.00 gamma=90.00
Space group I4/mmm (No. 139)
Symmetry-distinct sites (fractional):
Cs 0.000 0.000 0.000 [2 per cell]
Ga 0.000 0.500 0.250 [4 per cell]
As 0.000 0.000 0.344 [4 per cell]

Entry R
Material: CsGa2As2
Method: DFT, GGA-PBE
State: relaxed

Properties
Spin magnetization, μB/cell: 0.00
Calculated volume, Å³ per cell: 309

Unit cell a=9.069 b=9.069 c=3.751 alpha=90.00 beta=90.00 gamma=90.00
Space group P4/mbm (No. 127)
Symmetry-distinct sites (fractional):
Cs 0.000 0.000 0.000 [2 per cell]
Ga 0.126 0.374 0.500 [4 per cell]
As 0.099 0.599 0.000 [4 per cell]

Most stable structure: entry Q

Entry P
Material: CsGaAsSe2
Method: DFT, GGA-PBE
State: relaxed

Properties
Spin magnetization, μB/cell: 3.27
Calculated volume, Å³ per cell: 233

Unit cell a=6.189 b=6.189 c=6.078 alpha=90.00 beta=90.00 gamma=90.00
Space group P4/mmm (No. 123)
Symmetry-distinct sites (fractional):
Cs 0.000 0.000 0.000 [1 per cell]
Ga 0.500 0.500 0.500 [1 per cell]
As 0.000 0.000 0.500 [1 per cell]
Se 0.000 0.500 0.000 [2 per cell]

Entry Q
Material: CsGaAsSe2
Method: DFT, GGA-PBE
State: relaxed

Properties
Spin magnetization, μB/cell: 0.00
Calculated volume, Å³ per cell: 144

Unit cell a=5.358 b=5.358 c=5.011 alpha=90.00 beta=90.00 gamma=90.00
Space group P4/mmm (No. 123)
Symmetry-distinct sites (fractional):
Cs 0.000 0.000 0.000 [1 per cell]
Ga 0.500 0.500 0.500 [1 per cell]
As 0.500 0.500 0.000 [1 per cell]
Se 0.000 0.500 0.500 [2 per cell]

Most stable structure: entry Q

Entry P
Material: CsGe2As2
Method: DFT, GGA-PBE
State: relaxed

Properties
Spin magnetization, μB/cell: 0.00
Calculated volume, Å³ per cell: 286

Unit cell a=8.934 b=8.934 c=3.585 alpha=90.00 beta=90.00 gamma=90.00
Space group P4/mbm (No. 127)
Symmetry-distinct sites (fractional):
Cs 0.000 0.000 0.000 [2 per cell]
Ge 0.118 0.382 0.500 [4 per cell]
As 0.118 0.618 0.000 [4 per cell]

Entry Q
Material: CsGe2As2
Method: DFT, GGA-PBE
State: relaxed

Properties
Spin magnetization, μB/cell: 0.00
Calculated volume, Å³ per cell: 303

Unit cell a=4.749 b=4.749 c=13.419 alpha=90.00 beta=90.00 gamma=90.00
Space group I4/mmm (No. 139)
Symmetry-distinct sites (fractional):
Cs 0.000 0.000 0.000 [2 per cell]
Ge 0.000 0.500 0.250 [4 per cell]
As 0.000 0.000 0.338 [4 per cell]

Entry R
Material: CsGe2As2
Method: DFT, GGA-PBE
State: relaxed

Properties
Spin magnetization, μB/cell: 0.00
Calculated volume, Å³ per cell: 278

Unit cell a=8.860 b=8.860 c=3.542 alpha=90.00 beta=90.00 gamma=90.00
Space group P4/mbm (No. 127)
Symmetry-distinct sites (fractional):
Cs 0.000 0.000 0.000 [2 per cell]
Ge 0.111 0.389 0.000 [4 per cell]
As 0.131 0.631 0.500 [4 per cell]

Entry S
Material: CsGe2As2
Method: DFT, GGA-PBE
State: relaxed

Properties
Spin magnetization, μB/cell: 0.00
Calculated volume, Å³ per cell: 325

Unit cell a=5.394 b=7.792 c=8.903 alpha=111.29 beta=106.59 gamma=95.94
Space group P-1 (No. 2)
Symmetry-distinct sites (fractional):
Cs 0.192 0.244 0.466 [2 per cell]
Ge 0.299 0.438 0.038 [2 per cell]
Ge 0.485 0.903 0.134 [2 per cell]
As 0.141 0.722 0.201 [2 per cell]
As 0.444 0.748 0.822 [2 per cell]

Most stable structure: entry Q

Entry P
Material: Cs2GeAs
Method: DFT, GGA-PBE
State: relaxed

Properties
Spin magnetization, μB/cell: 4.00
Calculated volume, Å³ per cell: 665

Unit cell a=8.731 b=8.731 c=8.731 alpha=90.00 beta=90.00 gamma=90.00
Space group Fm-3m (No. 225)
Symmetry-distinct sites (fractional):
Cs 0.250 0.250 0.250 [8 per cell]
Ge 0.000 0.000 0.000 [4 per cell]
As 0.000 0.000 0.500 [4 per cell]

Entry Q
Material: Cs2GeAs
Method: DFT, GGA-PBE
State: relaxed

Properties
Spin magnetization, μB/cell: 0.00
Calculated volume, Å³ per cell: 1277

Unit cell a=11.162 b=11.141 c=10.267 alpha=90.00 beta=90.00 gamma=90.00
Space group Cmce (No. 64)
Symmetry-distinct sites (fractional):
Cs 0.000 0.001 0.180 [8 per cell]
Cs 0.250 0.249 0.750 [8 per cell]
Ge 0.000 0.157 0.500 [8 per cell]
As 0.161 0.000 0.500 [8 per cell]

Most stable structure: entry Q

Entry P
Material: CsGe3As
Method: DFT, GGA-PBE
State: relaxed

Properties
Spin magnetization, μB/cell: 0.00
Calculated volume, Å³ per cell: 149

Unit cell a=5.307 b=5.307 c=5.307 alpha=90.00 beta=90.00 gamma=90.00
Space group Pm-3m (No. 221)
Symmetry-distinct sites (fractional):
Cs 0.000 0.000 0.000 [1 per cell]
Ge 0.000 0.500 0.500 [3 per cell]
As 0.500 0.500 0.500 [1 per cell]

Entry Q
Material: CsGe3As
Method: DFT, GGA-PBE
State: relaxed

Properties
Spin magnetization, μB/cell: 0.00
Calculated volume, Å³ per cell: 184

Unit cell a=5.685 b=5.685 c=5.685 alpha=90.00 beta=90.00 gamma=90.00
Space group Pm-3m (No. 221)
Symmetry-distinct sites (fractional):
Cs 0.000 0.000 0.000 [1 per cell]
Ge 0.000 0.000 0.500 [3 per cell]
As 0.500 0.500 0.500 [1 per cell]

Most stable structure: entry P

Entry P
Material: CsGeAs
Method: DFT, GGA-PBE
State: relaxed

Properties
Spin magnetization, μB/cell: 0.00
Calculated volume, Å³ per cell: 215

Unit cell a=4.713 b=7.311 c=7.556 alpha=62.27 beta=89.09 gamma=71.27
Space group P-1 (No. 2)
Symmetry-distinct sites (fractional):
Cs 0.181 0.156 0.202 [2 per cell]
Ge 0.491 0.507 0.664 [2 per cell]
As 0.088 0.315 0.644 [2 per cell]

Entry Q
Material: CsGeAs
Method: DFT, GGA-PBE
State: relaxed

Properties
Spin magnetization, μB/cell: 0.00
Calculated volume, Å³ per cell: 97

Unit cell a=4.0966 b=4.0966 c=6.6725 alpha=90.00 beta=90.00 gamma=120.00
Space group P3m1 (No. 156)
Symmetry-distinct sites (fractional):
Cs 0.0000 0.0000 0.0000 [1 per cell]
Ge 0.3333 0.6667 0.4243 [1 per cell]
As 0.6667 0.3333 0.5974 [1 per cell]

Most stable structure: entry Q

Entry P
Material: Cs3GeAs2
Method: DFT, GGA-PBE
State: relaxed

Properties
Spin magnetization, μB/cell: 0.00
Calculated volume, Å³ per cell: 1001

Unit cell a=8.871 b=15.802 c=7.137 alpha=90.00 beta=90.00 gamma=90.00
Space group Ibam (No. 72)
Symmetry-distinct sites (fractional):
Cs 0.000 0.000 0.250 [4 per cell]
Cs 0.190 0.320 0.000 [8 per cell]
Ge 0.000 0.500 0.250 [4 per cell]
As 0.169 0.419 0.500 [8 per cell]

Entry Q
Material: Cs3GeAs2
Method: DFT, GGA-PBE
State: relaxed

Properties
Spin magnetization, μB/cell: 0.00
Calculated volume, Å³ per cell: 1725

Unit cell a=6.586 b=24.671 c=10.616 alpha=90.00 beta=90.00 gamma=90.00
Space group Ibam (No. 72)
Symmetry-distinct sites (fractional):
Cs 0.000 0.000 0.250 [4 per cell]
Cs 0.000 0.340 0.250 [8 per cell]
Ge 0.000 0.500 0.000 [4 per cell]
As 0.197 0.426 0.000 [8 per cell]

Most stable structure: entry P

Entry P
Material: Cs3AsH
Method: DFT, GGA-PBE
State: relaxed

Properties
Spin magnetization, μB/cell: 1.00
Calculated volume, Å³ per cell: 203

Unit cell a=5.880 b=5.880 c=5.880 alpha=90.00 beta=90.00 gamma=90.00
Space group Pm-3m (No. 221)
Symmetry-distinct sites (fractional):
Cs 0.000 0.000 0.500 [3 per cell]
As 0.500 0.500 0.500 [1 per cell]
H 0.000 0.000 0.000 [1 per cell]

Entry Q
Material: Cs3AsH
Method: DFT, GGA-PBE
State: relaxed

Properties
Spin magnetization, μB/cell: 0.00
Calculated volume, Å³ per cell: 853

Unit cell a=11.484 b=7.632 c=10.425 alpha=90.00 beta=111.08 gamma=90.00
Space group P2_1/c (No. 14)
Symmetry-distinct sites (fractional):
Cs 0.087 0.067 0.359 [4 per cell]
Cs 0.223 0.599 0.562 [4 per cell]
Cs 0.404 0.137 0.769 [4 per cell]
As 0.396 0.575 0.937 [4 per cell]
H 0.050 0.240 0.088 [4 per cell]

Most stable structure: entry Q

Entry P
Material: Cs2AsH2
Method: DFT, GGA-PBE
State: relaxed

Properties
Spin magnetization, μB/cell: 0.00
Calculated volume, Å³ per cell: 766

Unit cell a=13.463 b=4.107 c=14.904 alpha=90.00 beta=111.57 gamma=90.00
Space group C2/m (No. 12)
Symmetry-distinct sites (fractional):
Cs 0.070 0.000 0.366 [4 per cell]
Cs 0.203 0.500 0.121 [4 per cell]
As 0.059 0.500 0.852 [4 per cell]
H 0.061 0.000 0.847 [4 per cell]
H 0.106 0.500 0.770 [4 per cell]

Entry Q
Material: Cs2AsH2
Method: DFT, GGA-PBE
State: relaxed

Properties
Spin magnetization, μB/cell: 1.80
Calculated volume, Å³ per cell: 290

Unit cell a=4.470 b=4.470 c=14.512 alpha=90.00 beta=90.00 gamma=90.00
Space group I4/mmm (No. 139)
Symmetry-distinct sites (fractional):
Cs 0.000 0.000 0.137 [4 per cell]
As 0.000 0.000 0.500 [2 per cell]
H 0.000 0.000 0.366 [4 per cell]

Most stable structure: entry P

Entry P
Material: CsAsH2O4
Method: DFT, GGA-PBE
State: relaxed

Properties
Spin magnetization, μB/cell: 0.19
Calculated volume, Å³ per cell: 1070

Unit cell a=11.347 b=11.781 c=8.005 alpha=90.00 beta=90.00 gamma=90.00
Space group Fdd2 (No. 43)
Symmetry-distinct sites (fractional):
Cs 0.000 0.000 0.000 [8 per cell]
As 0.000 0.000 0.518 [8 per cell]
H 0.071 0.206 0.634 [16 per cell]
O 0.025 0.381 0.132 [16 per cell]
O 0.120 0.025 0.382 [16 per cell]

Entry Q
Material: CsAsH2O4
Method: DFT, GGA-PBE
State: relaxed

Properties
Spin magnetization, μB/cell: 0.00
Calculated volume, Å³ per cell: 247

Unit cell a=4.149 b=7.389 c=8.057 alpha=90.00 beta=90.00 gamma=90.00
Space group I222 (No. 23)
Symmetry-distinct sites (fractional):
Cs 0.000 0.000 0.000 [2 per cell]
As 0.000 0.000 0.500 [2 per cell]
H 0.000 0.500 0.134 [4 per cell]
O 0.233 0.392 0.866 [8 per cell]

Most stable structure: entry P

Entry P
Material: CsAsHSe
Method: DFT, GGA-PBE
State: relaxed

Properties
Spin magnetization, μB/cell: 0.00
Calculated volume, Å³ per cell: 112

Unit cell a=3.732 b=5.249 c=6.283 alpha=66.66 beta=88.91 gamma=83.05
Space group P1 (No. 1)
Symmetry-distinct sites (fractional):
Cs 0.000 0.000 0.000 [1 per cell]
As 0.522 0.749 0.577 [1 per cell]
H 0.117 0.358 0.466 [1 per cell]
Se 0.501 0.274 0.418 [1 per cell]

Entry Q
Material: CsAsHSe
Method: DFT, GGA-PBE
State: relaxed

Properties
Spin magnetization, μB/cell: 0.00
Calculated volume, Å³ per cell: 118

Unit cell a=4.544 b=4.829 c=5.855 alpha=93.22 beta=112.70 gamma=90.06
Space group P1 (No. 1)
Symmetry-distinct sites (fractional):
Cs 0.000 0.000 0.000 [1 per cell]
As 0.293 0.513 0.585 [1 per cell]
H 0.295 0.190 0.591 [1 per cell]
Se 0.683 0.524 0.365 [1 per cell]

Most stable structure: entry Q